1.
Density functional theory data (PBE) for YZrN2 after structural relaxation.

Properties
D(E_F)   1.61 states/eV/f.u.
Raw formation energy   -1.492 eV/atom
Calculated total energy   -9.408 eV/atom

Geometry as POSCAR:
```
YZrN2
1.0
3.2982 0.0000 0.0000
1.6491 2.8564 0.0000
1.6491 0.9521 5.7767
N Zr Y
2 1 1
Direct
0.2583 0.2583 0.2251 N
0.0760 0.0760 0.7721 N
0.6699 0.6699 0.9903 Zr
0.4958 0.4958 0.5125 Y
```

2.
Density functional theory data (PBE) for YZr3N after structural relaxation.

Properties
Energy relative to the lowest polymorph listed for this composition   0.0 meV/atom
D(E_F)   5.17 states/eV/f.u.
Raw formation energy   -0.584 eV/atom
Calculated total energy   -8.671 eV/atom

Geometry as POSCAR:
```
YZr3N
1.0
4.6536 0.0000 0.0000
0.0000 4.6536 0.0000
0.0000 0.0000 4.6536
Zr Y N
3 1 1
Direct
0.0000 0.0000 0.5000 Zr
0.0000 0.5000 0.0000 Zr
0.5000 0.0000 0.0000 Zr
0.5000 0.5000 0.5000 Y
0.0000 0.0000 0.0000 N
```

3.
Density functional theory data (PBE) for Y5ZrN6 after structural relaxation.

Properties
D(E_F)   1.82 states/eV/f.u.
Raw formation energy   -1.715 eV/atom
Calculated total energy   -9.283 eV/atom

Geometry as POSCAR:
```
Y5ZrN6
1.0
-4.7516 3.3801 1.1727
-1.0546 -0.0229 5.8544
2.5313 4.0914 3.4942
Y Zr N
5 1 6
Direct
0.5000 0.1661 0.6677 Y
0.5000 0.5000 0.0000 Y
0.5000 0.8339 0.3323 Y
0.0000 0.3333 0.3333 Y
0.0000 0.6667 0.6667 Y
0.0000 0.0000 0.0000 Zr
0.7579 0.4010 0.6798 N
0.7574 0.7606 0.0000 N
0.7579 0.0808 0.3202 N
0.2421 0.5990 0.3202 N
0.2421 0.9192 0.6798 N
0.2426 0.2394 0.0000 N
```

4.
Density functional theory data (PBE) for Y3ZrN after structural relaxation.

Properties
Energy relative to the lowest polymorph listed for this composition   2123.7 meV/atom
D(E_F)   5.91 states/eV/f.u.
Raw formation energy   1.648 eV/atom
Calculated total energy   -5.605 eV/atom

Geometry as POSCAR:
```
Y3ZrN
1.0
-1.4631 -0.4793 5.2212
-1.6196 -5.1143 -0.9233
4.9868 -1.8016 1.2320
Y Zr N
3 1 1
Direct
0.5000 0.0000 0.0000 Y
0.0000 0.5000 0.0000 Y
0.0000 0.0000 0.5000 Y
0.0000 0.0000 0.0000 Zr
0.5000 0.5000 0.5000 N
```

5.
Density functional theory data (PBE) for YbN2 after structural relaxation.

Properties
D(E_F)   2.43 states/eV/f.u.
Raw formation energy   -0.614 eV/atom
Calculated total energy   -6.673 eV/atom

Geometry as POSCAR:
```
YbN2
1.0
4.1139 0.0000 0.0000
0.0000 4.1139 0.0000
0.0000 0.0000 4.7326
N Yb
4 2
Direct
0.3908 0.6092 0.5000 N
0.6092 0.3908 0.5000 N
0.1092 0.1092 0.0000 N
0.8908 0.8908 0.0000 N
0.5000 0.5000 0.0000 Yb
0.0000 0.0000 0.5000 Yb
```

6.
Density functional theory data (PBE) for Zn3N after structural relaxation.

Properties
D(E_F)   1.00 states/eV/f.u.
Raw formation energy   0.748 eV/atom
Calculated total energy   -2.288 eV/atom

Geometry as POSCAR:
```
Zn3N
1.0
-0.9827 3.9838 -2.5909
1.5078 0.2238 -4.6071
-2.3901 -3.1133 2.8537
Zn N
3 1
Direct
0.5000 0.5000 0.0000 Zn
0.2500 0.7500 0.5000 Zn
0.7500 0.2500 0.5000 Zn
0.0000 0.0000 0.0000 N
```

7.
Density functional theory data (PBE) for Zn3N after structural relaxation.

Properties
D(E_F)   1.55 states/eV/f.u.
Raw formation energy   0.756 eV/atom
Calculated total energy   -2.281 eV/atom

Geometry as POSCAR:
```
Zn3N
1.0
3.7101 0.0000 0.0000
0.0000 3.7101 0.0000
0.0000 0.0000 3.7101
Zn N
3 1
Direct
0.5000 0.5000 0.0000 Zn
0.5000 0.0000 0.5000 Zn
0.0000 0.5000 0.5000 Zn
0.0000 0.0000 0.0000 N
```

8.
Density functional theory data (PBE) for ZrZnN after structural relaxation.

Properties
D(E_F)   0.90 states/eV/f.u.
Raw formation energy   -0.840 eV/atom
Calculated total energy   -6.889 eV/atom

Geometry as POSCAR:
```
ZrZnN
1.0
-2.6799 -1.5815 -0.7377
1.5967 -1.6764 -2.2063
2.5731 -4.7656 7.8010
Zn Zr N
2 2 2
Direct
0.5670 0.5670 0.1339 Zn
0.4330 0.4330 0.8661 Zn
0.1866 0.1866 0.3733 Zr
0.8134 0.8134 0.6267 Zr
0.6931 0.6931 0.3862 N
0.3069 0.3069 0.6138 N
```

9.
Density functional theory data (PBE) for Zr3ZnN after structural relaxation.

Properties
Energy relative to the lowest polymorph listed for this composition   0.0 meV/atom
D(E_F)   3.41 states/eV/f.u.
Raw formation energy   -0.891 eV/atom
Calculated total energy   -7.940 eV/atom

Geometry as POSCAR:
```
Zr3ZnN
1.0
6.0381 -0.0108 0.0000
-5.1025 3.2286 0.0000
0.0000 0.0000 8.9417
Zr Zn N
6 2 2
Direct
0.6261 0.3739 0.5489 Zr
0.3739 0.6261 0.0489 Zr
0.0478 0.9522 0.2500 Zr
0.6261 0.3739 0.9511 Zr
0.9522 0.0478 0.7500 Zr
0.3739 0.6261 0.4511 Zr
0.7424 0.2576 0.2500 Zn
0.2576 0.7424 0.7500 Zn
0.0000 0.0000 0.5000 N
0.0000 0.0000 0.0000 N
```

10.
Density functional theory data (PBE) for ZrZn3N after structural relaxation.

Properties
Energy relative to the lowest polymorph listed for this composition   0.0 meV/atom
D(E_F)   2.15 states/eV/f.u.
Raw formation energy   0.476 eV/atom
Calculated total energy   -3.663 eV/atom

Geometry as POSCAR:
```
ZrZn3N
1.0
-2.1669 2.4335 2.7336
-1.5941 -3.4873 1.8408
3.2945 -0.0867 2.6887
Zn N Zr
3 1 1
Direct
0.5000 0.0000 0.0000 Zn
0.0000 0.5000 0.0000 Zn
0.0000 0.0000 0.5000 Zn
0.0000 0.0000 0.0000 N
0.5000 0.5000 0.5000 Zr
```

11.
Density functional theory data (PBE) for ZrZn4N4 after structural relaxation.

Properties
Energy relative to the lowest polymorph listed for this composition   0.0 meV/atom
Raw formation energy   -0.261 eV/atom
Calculated total energy   -5.478 eV/atom

Geometry as POSCAR:
```
ZrZn4N4
1.0
-2.9592 0.1860 5.0376
-3.2436 -4.0876 -2.6344
4.0542 -4.8677 2.5612
Zn N Zr
8 8 2
Direct
0.1249 0.4159 0.2500 Zn
0.8751 0.5841 0.7500 Zn
0.5841 0.8751 0.7500 Zn
0.8422 0.1578 0.5000 Zn
0.1578 0.8422 0.5000 Zn
0.8422 0.1578 0.0000 Zn
0.4159 0.1249 0.2500 Zn
0.1578 0.8422 0.0000 Zn
0.2075 0.2075 0.4883 N
0.7925 0.7925 0.5117 N
0.2641 0.6920 0.7500 N
0.2075 0.2075 0.0117 N
0.7359 0.3080 0.2500 N
0.6920 0.2641 0.7500 N
0.3080 0.7359 0.2500 N
0.7925 0.7925 0.9883 N
0.6527 0.6527 0.2500 Zr
0.3473 0.3473 0.7500 Zr
```

12.
Density functional theory data (PBE) for Zr3ZnN after structural relaxation.

Properties
Energy relative to the lowest polymorph listed for this composition   89.2 meV/atom
D(E_F)   2.89 states/eV/f.u.
Raw formation energy   -0.802 eV/atom
Calculated total energy   -7.851 eV/atom

Geometry as POSCAR:
```
Zr3ZnN
1.0
-0.3118 4.3372 -1.0064
-0.1445 -1.0182 -4.3433
-4.4501 -0.2709 0.2115
Zr Zn N
3 1 1
Direct
0.5000 0.0000 0.0000 Zr
0.0000 0.0000 0.5000 Zr
0.0000 0.5000 0.0000 Zr
0.5000 0.5000 0.5000 Zn
0.0000 0.0000 0.0000 N
```

13.
Density functional theory data (PBE) for Zr6Zn3N after structural relaxation.

Properties
D(E_F)   7.93 states/eV/f.u.
Raw formation energy   -0.414 eV/atom
Calculated total energy   -6.758 eV/atom

Geometry as POSCAR:
```
Zr6Zn3N
1.0
-0.5710 -3.0363 5.0439
5.9461 -3.7360 -1.5758
4.9620 5.8402 4.8774
N Zn Zr
2 6 12
Direct
0.5000 0.5000 0.5000 N
0.0000 0.0000 0.0000 N
0.9128 0.3783 0.7593 Zn
0.0000 0.0000 0.5000 Zn
0.5000 0.5000 0.0000 Zn
0.0872 0.6217 0.2407 Zn
0.4128 0.1217 0.2593 Zn
0.5872 0.8783 0.7407 Zn
0.6622 0.4528 0.2706 Zr
0.8378 0.9528 0.2294 Zr
0.6125 0.2120 0.5605 Zr
0.1645 0.3590 0.4462 Zr
0.3875 0.7880 0.4395 Zr
0.6645 0.1410 0.9462 Zr
0.1622 0.0472 0.7706 Zr
0.8355 0.6410 0.5538 Zr
0.8875 0.7120 0.9395 Zr
0.3378 0.5472 0.7294 Zr
0.3355 0.8590 0.0538 Zr
0.1125 0.2880 0.0605 Zr
```

14.
Density functional theory data (PBE) for ZrZn4N4 after structural relaxation.

Properties
Energy relative to the lowest polymorph listed for this composition   25.1 meV/atom
Raw formation energy   -0.236 eV/atom
Calculated total energy   -5.452 eV/atom

Geometry as POSCAR:
```
ZrZn4N4
1.0
5.5798 0.0008 -0.0003
2.3674 5.1244 0.0017
0.4179 3.7600 7.9548
Zn N Zr
8 8 2
Direct
0.7998 0.1163 0.0679 Zn
0.7674 0.4679 0.5535 Zn
0.6674 0.6294 0.2127 Zn
0.2326 0.5321 0.4465 Zn
0.2002 0.8837 0.9321 Zn
0.2677 0.9240 0.5559 Zn
0.7323 0.0760 0.4441 Zn
0.3326 0.3706 0.7873 Zn
0.4026 0.8029 0.3492 N
0.5841 0.3105 0.2012 N
0.1035 0.2408 0.9668 N
0.8965 0.7592 0.0332 N
0.5974 0.1971 0.6508 N
0.4159 0.6895 0.7988 N
0.0390 0.3297 0.3968 N
0.9610 0.6703 0.6032 N
0.7671 0.7403 0.8089 Zr
0.2329 0.2597 0.1911 Zr
```

15.
Density functional theory data (PBE) for ZrZn2N after structural relaxation.

Properties
D(E_F)   1.79 states/eV/f.u.
Raw formation energy   -0.110 eV/atom
Calculated total energy   -4.965 eV/atom

Geometry as POSCAR:
```
ZrZn2N
1.0
7.3848 0.0000 0.0000
0.0000 7.3848 0.0000
3.6924 3.6924 2.2116
N Zr Zn
2 2 4
Direct
0.2500 0.7500 0.5000 N
0.5000 0.5000 0.0000 N
0.7500 0.2500 0.5000 Zr
0.0000 0.0000 0.0000 Zr
0.5511 0.1250 0.2500 Zn
0.1989 0.6250 0.2500 Zn
0.3750 0.4489 0.7500 Zn
0.8750 0.8011 0.7500 Zn
```

16.
Density functional theory data (PBE) for Zr5ZnN6 after structural relaxation.

Properties
D(E_F)   3.55 states/eV/f.u.
Raw formation energy   -1.373 eV/atom
Calculated total energy   -9.203 eV/atom

Geometry as POSCAR:
```
Zr5ZnN6
1.0
5.5543 0.1364 0.8443
1.3661 4.7119 2.7470
0.0939 0.0502 5.6215
Zr N Zn
5 6 1
Direct
0.5000 0.1619 0.6763 Zr
0.5000 0.5000 0.0000 Zr
0.5000 0.8381 0.3237 Zr
0.0000 0.3338 0.3324 Zr
0.0000 0.6662 0.6676 Zr
0.7556 0.7527 0.0000 N
0.7480 0.4160 0.6670 N
0.2520 0.9170 0.6670 N
0.2444 0.2473 0.0000 N
0.2520 0.5840 0.3330 N
0.7480 0.0830 0.3330 N
0.0000 0.0000 0.0000 Zn
```

17.
Density functional theory data (PBE) for Zr4Zn2N after structural relaxation.

Properties
Energy relative to the lowest polymorph listed for this composition   0.0 meV/atom
D(E_F)   5.26 states/eV/f.u.
Raw formation energy   -0.690 eV/atom
Calculated total energy   -7.128 eV/atom

Geometry as POSCAR:
```
Zr4Zn2N
1.0
1.5813 -1.1608 8.6234
5.3044 -6.5490 2.6806
7.9841 1.8547 3.3204
Zn Zr N
8 16 4
Direct
0.7639 0.4120 0.4120 Zn
0.4120 0.7639 0.4120 Zn
0.8380 0.4861 0.8380 Zn
0.4120 0.4120 0.4120 Zn
0.4861 0.8380 0.8380 Zn
0.8380 0.8380 0.4861 Zn
0.8380 0.8380 0.8380 Zn
0.4120 0.4120 0.7639 Zn
0.8179 0.1821 0.1821 Zr
0.8179 0.8179 0.1821 Zr
0.1250 0.6250 0.6250 Zr
0.1821 0.1821 0.8179 Zr
0.4321 0.0679 0.4321 Zr
0.6250 0.1250 0.6250 Zr
0.4321 0.0679 0.0679 Zr
0.6250 0.6250 0.1250 Zr
0.1821 0.8179 0.1821 Zr
0.6250 0.6250 0.6250 Zr
0.1821 0.8179 0.8179 Zr
0.0679 0.4321 0.4321 Zr
0.0679 0.4321 0.0679 Zr
0.4321 0.4321 0.0679 Zr
0.8179 0.1821 0.8179 Zr
0.0679 0.0679 0.4321 Zr
0.1250 0.1250 0.6250 N
0.6250 0.1250 0.1250 N
0.1250 0.1250 0.1250 N
0.1250 0.6250 0.1250 N
```

18.
Density functional theory data (PBE) for ZrZn3N after structural relaxation.

Properties
Energy relative to the lowest polymorph listed for this composition   1388.1 meV/atom
D(E_F)   4.64 states/eV/f.u.
Raw formation energy   1.864 eV/atom
Calculated total energy   -2.275 eV/atom

Geometry as POSCAR:
```
ZrZn3N
1.0
-3.6965 -0.5902 4.0281
-0.0623 -5.4320 -0.8530
4.0706 -0.6190 3.6448
Zn Zr N
3 1 1
Direct
0.0000 0.5000 0.0000 Zn
0.5000 0.0000 0.0000 Zn
0.0000 0.0000 0.5000 Zn
0.0000 0.0000 0.0000 Zr
0.5000 0.5000 0.5000 N
```

19.
Density functional theory data (PBE) for Zr4Zn2N after structural relaxation.

Properties
Energy relative to the lowest polymorph listed for this composition   172.3 meV/atom
D(E_F)   4.25 states/eV/f.u.
Raw formation energy   -0.518 eV/atom
Calculated total energy   -6.955 eV/atom

Geometry as POSCAR:
```
Zr4Zn2N
1.0
-0.4435 -3.1667 -0.5983
2.4834 -1.6591 6.9399
-10.1687 0.7050 3.8073
Zr Zn N
8 4 2
Direct
0.0000 0.3693 0.1896 Zr
0.0000 0.1307 0.6896 Zr
0.0000 0.6307 0.8104 Zr
0.0000 0.8693 0.3104 Zr
0.5000 0.6810 0.0637 Zr
0.5000 0.1810 0.4363 Zr
0.5000 0.3190 0.9363 Zr
0.5000 0.8190 0.5637 Zr
0.5000 0.5609 0.3632 Zn
0.5000 0.9391 0.8632 Zn
0.5000 0.0609 0.1368 Zn
0.5000 0.4391 0.6368 Zn
0.0000 0.0000 0.5000 N
0.0000 0.5000 0.0000 N
```

20.
Density functional theory data (PBE) for Zr2ZnN3 after structural relaxation.

Properties
D(E_F)   0.17 states/eV/f.u.
Raw formation energy   -0.831 eV/atom
Calculated total energy   -8.055 eV/atom

Geometry as POSCAR:
```
Zr2ZnN3
1.0
3.6515 0.2825 0.4611
1.8540 6.1126 2.2896
-0.4056 1.6232 8.4596
N Zr Zn
6 4 2
Direct
0.3268 0.9174 0.4201 N
0.6732 0.0826 0.5799 N
0.0445 0.6499 0.3387 N
0.7204 0.5046 0.1532 N
0.2796 0.4954 0.8468 N
0.9555 0.3501 0.6613 N
0.0800 0.2519 0.4437 Zr
0.5550 0.1970 0.7765 Zr
0.9200 0.7481 0.5563 Zr
0.4450 0.8030 0.2235 Zr
0.1494 0.6388 0.0215 Zn
0.8506 0.3612 0.9785 Zn
```